Record 1
A plane-wave DFT calculation with PBE was carried out for a relaxed AlCdOsW2 crystal.

```
5
Lattice="4.8240 0.0000 0.0000 0.0000 4.6569 0.0000 0.0000 0.0000 4.8240" Properties=species:S:1:pos:R:3 pbc="T T T"
W 0.0000 0.0000 2.4120
W 2.4120 0.0000 0.0000
Cd 2.4120 2.3284 2.4120
Al 0.0000 2.3284 0.0000
Os 0.0000 0.0000 0.0000
```

Calculated values
Calculated formation energy ... 1.37 eV per atom
Total magnetization ... 0.080 μB per formula unit
Total DFT energy (no corrections) ... -34.95 eV/cell

***

Record 2
A plane-wave DFT calculation with PBE was carried out for a relaxed NaZn2Ga crystal.

```
8
Lattice="-3.3334 -1.8571 2.1300 0.7386 -1.9440 -5.0220 4.3477 -4.8966 2.5348" Properties=species:S:1:pos:R:3 pbc="T T T"
Zn -0.0091 -3.8309 1.1287
Zn 3.3939 -6.7048 -0.5344
Zn 1.7619 -4.8668 -1.4859
Zn -1.6411 -1.9928 0.1772
Ga 1.0754 -6.2062 0.7549
Ga 0.6774 -2.4914 -1.1120
Na -1.3743 -4.6117 -1.6886
Na 3.1272 -4.0860 1.3314
```

Calculated values
Calculated formation energy ... -0.04 eV per atom
Total magnetization ... 0.000 μB per formula unit
Total DFT energy (no corrections) ... -14.12 eV/cell

***

Record 3
A plane-wave DFT calculation with PBE was carried out for a relaxed KAg4Sb crystal.

```
6
Lattice="0.0000 4.0606 4.0606 4.0606 0.0000 4.0606 4.0606 4.0606 0.0000" Properties=species:S:1:pos:R:3 pbc="T T T"
K 6.0909 6.0909 6.0909
Ag 5.0737 3.0474 5.0737
Ag 5.0737 5.0737 3.0474
Ag 3.0474 5.0737 5.0737
Ag 3.0474 3.0474 3.0474
Sb 0.0000 0.0000 0.0000
```

Calculated values
Uncorrected formation energy ... -0.01 eV/atom
Total magnetization ... 0.000 μB per formula unit
Total DFT energy (no corrections) ... -16.70 eV/cell

***

Record 4
A plane-wave DFT calculation with PBE was carried out for a relaxed PrEu2Mg crystal.

```
4
Lattice="-2.6130 0.3296 5.1952 1.3912 -3.7829 4.2049 2.9981 1.7973 4.6591" Properties=species:S:1:pos:R:3 pbc="T T T"
Mg 0.8882 -0.8280 7.0296
Pr 0.0000 0.0000 0.0000
Eu 1.3322 -1.2420 10.5444
Eu 0.4441 -0.4140 3.5148
```

Calculated values
Calculated formation energy ... 0.09 eV per atom
E above lowest polymorph ... 0.081 eV per atom
Total magnetization ... 15.002 μB per formula unit
Total DFT energy (no corrections) ... -26.56 eV/cell

***

Record 5
A plane-wave DFT calculation with PBE was carried out for a relaxed Er2Pd8Pt crystal.

```
11
Lattice="4.7626 -0.4106 -1.1926 -1.8948 6.3657 -3.3712 -0.0920 -0.2435 6.6840" Properties=species:S:1:pos:R:3 pbc="T T T"
Pd 1.8138 4.8755 -1.8436
Pd 1.7681 2.5367 -0.3822
Pd 2.4157 4.9811 0.9447
Pd -0.9476 4.1248 4.2349
Pd 3.7234 1.5868 -2.1147
Pd 0.9620 0.8361 3.9638
Pd 1.0077 3.1748 2.5024
Pd 0.3601 0.7304 1.1755
Er -0.3375 4.4227 0.3131
Er 3.1133 1.2889 1.8071
Pt 2.3813 -0.2053 -0.5963
```

Calculated values
Calculated formation energy ... -0.57 eV per atom
E above lowest polymorph ... 0.000 eV per atom
Total magnetization ... 0.000 μB per formula unit
Total DFT energy (no corrections) ... -62.96 eV/cell

***

Record 6
A plane-wave DFT calculation with PBE was carried out for a relaxed Gd3Sn5Te12 crystal.

```
80
Lattice="-0.0603 8.7782 -12.8951 -14.1401 -6.2420 2.1073 3.6586 8.8616 12.3058" Properties=species:S:1:pos:R:3 pbc="T T T"
Te -7.6940 4.2181 -5.9882
Te -7.7168 6.1813 -8.8768
Te 0.0417 7.2593 -5.3680
Te -2.9980 6.5634 2.6284
Te -8.9303 9.7363 -0.4947
Te -11.6049 -1.7496 5.2758
Te -10.9806 5.1789 2.7029
Te -2.8250 5.2166 10.3947
Te -8.2210 1.5900 6.5373
Te -4.1610 8.5107 -8.0594
Te -2.3208 9.8078 -5.0194
Te -9.2068 0.5022 -3.3002
Te 1.4296 7.3852 6.8743
Te -11.9714 4.0127 -5.3564
Te -9.4802 1.7120 2.5014
Te 1.0630 13.1474 -3.7579
Te -0.7916 3.6533 4.7619
Te -5.4866 4.1728 6.1337
Te -9.7502 7.7445 -3.2440
Te -2.8478 7.1798 7.5061
Te -4.9860 12.0093 1.3682
Te -5.0552 7.2250 -4.6158
Te -8.7340 5.4457 9.9161
Te -7.8515 6.7214 6.4658
Te 2.2402 9.3670 9.6335
Te -7.5438 4.8345 -1.1105
Te 0.4387 6.2190 -1.1850
Te -1.8078 5.9522 -8.3982
Te 1.8899 15.1259 -1.0011
Te -12.4317 -3.7280 2.5190
Te -1.6115 1.6616 2.0126
Te -10.7058 3.4281 -0.6393
Te -7.8116 6.5720 2.2391
Te -1.0616 9.6858 -0.9835
Te -4.2281 8.2928 -0.5032
Te 0.1639 7.9698 2.1572
Te -9.1957 -1.4709 -0.4184
Te -4.9794 10.0495 4.2591
Te -12.7820 2.0308 -8.1156
Te -5.5624 1.3484 -2.7412
Te -6.3137 3.1051 2.0211
Te -2.6903 4.6765 -4.9479
Te -10.5835 4.1386 6.8859
Te -5.5558 -0.6114 0.1497
Te -6.3808 2.8872 9.5773
Te -1.3350 10.8957 4.8181
Te -1.3461 12.8688 1.9363
Te -2.7302 4.8259 -0.7212
Gd -2.2007 7.2490 -2.9180
Gd -4.8904 5.3506 -7.3429
Gd -0.3413 7.2907 9.6825
Gd -10.1312 6.6604 -0.1364
Gd -2.5963 9.7919 1.9601
Gd -7.9455 1.6060 -0.4422
Gd -8.3411 4.1489 4.4359
Gd -0.4106 4.7374 1.6543
Gd -9.6362 2.2818 9.4613
Gd -0.9056 9.1161 -7.9434
Gd -5.6514 6.0472 8.8608
Gd -10.2005 4.1072 -8.1646
Sn 1.7991 8.8199 -0.2947
Sn 0.9538 9.1578 4.6571
Sn -7.1002 1.2681 -5.3939
Sn -7.5108 6.0055 -3.7396
Sn -0.0301 4.3891 -6.4476
Sn 0.0000 0.0000 0.0000
Sn -1.3012 11.6590 -3.0653
Sn -11.9303 -2.1595 0.1583
Sn -4.3954 0.9719 2.2548
Sn -3.1003 2.8390 -2.7706
Sn 1.8293 4.4308 6.1529
Sn -11.4956 2.2401 -3.1392
Sn -5.2709 5.6989 0.7590
Sn 1.3885 13.5574 1.3596
Sn -6.1464 10.4259 -0.7369
Sn -7.4415 8.5588 4.2885
Sn -3.0310 5.3923 5.2575
Sn -5.2408 1.3098 7.2065
Sn -7.0700 -3.1210 1.0536
Sn -9.2406 -0.2611 4.5832
```

Calculated values
Uncorrected formation energy ... -0.57 eV/atom
Total magnetization ... 21.010 μB per formula unit
Total DFT energy (no corrections) ... -445.42 eV/cell

***

Record 7
A plane-wave DFT calculation with PBE was carried out for a relaxed YNi2Os crystal.

```
4
Lattice="8.9930 0.0026 0.0015 8.5457 2.8009 0.0015 8.5457 1.3660 2.4452" Properties=species:S:1:pos:R:3 pbc="T T T"
Os 12.7211 2.0334 1.1940
Y 6.6268 1.0593 0.6220
Ni 0.2686 0.0429 0.0252
Ni 19.5099 3.1186 1.8312
```

Calculated values
Calculated formation energy ... 0.51 eV per atom
E above lowest polymorph ... 0.654 eV per atom
Total magnetization ... 0.369 μB per formula unit
Total DFT energy (no corrections) ... -27.23 eV/cell

***

Record 8
A plane-wave DFT calculation with PBE was carried out for a relaxed Cs3Cu2SnI6 crystal.

```
12
Lattice="-2.0053 3.5992 8.0049 -6.5869 -2.1224 -5.7586 -0.5039 -8.6672 3.7707" Properties=species:S:1:pos:R:3 pbc="T T T"
I -3.1422 -3.4839 8.3130
I -6.3570 -4.5198 5.5025
I -6.9327 -1.9498 1.6109
I -2.7391 -2.6706 0.5146
I -5.9540 -3.7064 -2.2960
I -2.1634 -5.2406 4.4061
Cs 0.0000 0.0000 0.0000
Cs -3.7105 -1.3704 4.7494
Cs -5.3856 -5.8200 1.2676
Cu -5.1936 -2.5180 -0.1689
Cu -3.9025 -4.6724 6.1859
Sn -0.2519 -4.3336 1.8854
```

Calculated values
Uncorrected formation energy ... -0.74 eV/atom
Total magnetization ... 0.000 μB per formula unit
Total DFT energy (no corrections) ... -32.92 eV/cell

***

Record 9
A plane-wave DFT calculation with PBE was carried out for a relaxed Pr2ErCu2 crystal.

```
10
Lattice="4.6531 0.0000 0.0000 2.3265 5.9939 -0.1423 2.3265 0.6473 9.0038" Properties=species:S:1:pos:R:3 pbc="T T T"
Cu 6.9796 4.4665 4.9856
Cu 6.9796 1.6214 8.1564
Cu 2.3265 5.0198 0.7051
Cu 2.3265 2.1747 3.8759
Pr 4.6531 2.7159 6.1750
Pr 2.3265 1.6627 0.7767
Pr 6.9796 4.9784 8.0848
Pr 4.6531 3.9252 2.6865
Er 4.6531 0.4989 3.2089
Er 4.6531 6.1422 5.6526
```

Calculated values
Calculated formation energy ... -0.10 eV per atom
Total magnetization ... 0.000 μB per formula unit
Total DFT energy (no corrections) ... -45.65 eV/cell

***

Record 10
A plane-wave DFT calculation with PBE was carried out for a relaxed GeBMo2Os crystal.

```
5
Lattice="-0.5126 4.1455 0.1847 -4.0316 -0.4673 -0.7024 -0.6860 -0.2682 4.1157" Properties=species:S:1:pos:R:3 pbc="T T T"
B 0.0000 0.0000 0.0000
Ge -2.6151 1.7050 1.7990
Mo -0.2563 2.0727 0.0923
Mo -0.3430 -0.1341 2.0579
Os -2.0158 -0.2336 -0.3512
```

Calculated values
Calculated formation energy ... 0.33 eV per atom
Total magnetization ... 0.482 μB per formula unit
Total DFT energy (no corrections) ... -42.55 eV/cell

***

Record 11
A plane-wave DFT calculation with PBE was carried out for a relaxed AcMgAu2 crystal.

```
8
Lattice="5.9667 0.0000 0.0000 0.0000 6.3192 0.2125 0.0000 -2.6829 5.7254" Properties=species:S:1:pos:R:3 pbc="T T T"
Au 4.4750 2.0375 1.1646
Au 1.4917 0.1113 2.3442
Au 4.4750 3.5250 3.5936
Au 1.4917 1.5988 4.7732
Mg 2.9834 0.0000 0.0000
Mg 0.0000 0.0000 0.0000
Ac 1.4917 3.2901 2.0675
Ac 4.4750 0.3463 3.8703
```

Calculated values
Calculated formation energy ... -0.63 eV per atom
Total magnetization ... 0.000 μB per formula unit
Total DFT energy (no corrections) ... -29.55 eV/cell

***

Record 12
A plane-wave DFT calculation with PBE was carried out for a relaxed Pr2TmI2N2 crystal.

```
7
Lattice="-3.6274 0.7587 -2.4867 2.2477 -1.2302 -3.6540 -2.1837 -9.0501 4.4291" Properties=species:S:1:pos:R:3 pbc="T T T"
I -2.6305 -6.5069 -2.1528
I -0.9329 -3.0147 0.4411
Pr -2.4338 -7.8649 1.1508
Pr -1.1296 -1.6567 -2.8625
N -1.8137 0.3793 -1.2434
N 1.1238 -0.6151 -1.8270
Tm 0.0000 0.0000 0.0000
```

Calculated values
Uncorrected formation energy ... -1.30 eV/atom
Total magnetization ... 0.997 μB per formula unit
Total DFT energy (no corrections) ... -42.85 eV/cell

***

Record 13
A plane-wave DFT calculation with PBE was carried out for a relaxed K2NaHg6Pt crystal.

```
10
Lattice="6.3154 0.0000 0.0000 0.0000 7.4070 0.0000 0.0000 -3.7035 6.4146" Properties=species:S:1:pos:R:3 pbc="T T T"
Hg 1.2620 5.2524 1.2440
Hg 5.0534 0.0000 2.4879
Hg 1.2620 2.1546 1.2440
Hg 1.2620 3.7035 3.9267
Hg 5.0534 -1.5489 5.1707
Hg 5.0534 1.5489 5.1707
K 1.9503 0.0000 4.2764
K 4.3651 3.7035 2.1382
Na 3.1577 0.0000 0.0000
Pt 0.0000 0.0000 0.0000
```

Calculated values
Calculated formation energy ... -0.23 eV per atom
Total magnetization ... 0.000 μB per formula unit
Total DFT energy (no corrections) ... -13.62 eV/cell

***

Record 14
A plane-wave DFT calculation with PBE was carried out for a relaxed PrHo8Tm6 crystal.

```
15
Lattice="8.9416 0.0000 0.0000 4.4708 7.7436 0.0000 4.4708 2.5812 6.8174" Properties=species:S:1:pos:R:3 pbc="T T T"
Ho 8.9416 5.1624 4.9744
Ho 6.2201 6.8657 2.9004
Ho 8.9416 5.1624 1.8430
Ho 8.8272 1.9539 2.9004
Ho 9.0559 8.3709 3.9170
Ho 11.6630 3.4591 3.9170
Ho 6.1058 3.6572 3.9170
Ho 11.7774 6.6676 2.9004
Tm 2.5475 2.1346 0.8242
Tm 5.0457 4.4701 0.8242
Tm 15.3356 8.1902 5.9932
Tm 12.8374 5.8547 5.9932
Tm 12.0640 9.1859 5.9932
Tm 5.8192 1.1389 0.8242
Pr 0.0000 0.0000 0.0000
```

Calculated values
Calculated formation energy ... 0.14 eV per atom
E above lowest polymorph ... 0.000 eV per atom
Total magnetization ... 0.000 μB per formula unit
Total DFT energy (no corrections) ... -66.12 eV/cell

***

Record 15
A plane-wave DFT calculation with PBE was carried out for a relaxed SeBr crystal.

```
4
Lattice="3.6543 0.0000 0.0000 0.0000 3.6070 0.0000 0.0000 0.0000 8.6009" Properties=species:S:1:pos:R:3 pbc="T T T"
Se 0.0000 1.8035 2.9555
Se 1.8271 0.0000 4.2119
Br 1.8271 1.8035 6.3504
Br 0.0000 0.0000 0.8170
```

Calculated values
Uncorrected formation energy ... 0.31 eV/atom
Total magnetization ... 0.000 μB per formula unit
Total DFT energy (no corrections) ... -9.09 eV/cell

***

Record 16
A plane-wave DFT calculation with PBE was carried out for a relaxed ZrTeI3 crystal.

```
20
Lattice="-1.8546 -6.9052 3.0858 5.9965 -6.6534 -1.4583 6.4182 1.9557 12.7209" Properties=species:S:1:pos:R:3 pbc="T T T"
I 0.9516 -4.8921 5.9521
I 3.9262 -0.6467 5.7618
I 7.2268 -1.5741 12.0696
I 6.6340 -10.9562 8.5866
I 3.3334 -10.0287 2.2787
I -0.1065 -6.4203 2.6159
I 4.4310 -4.1935 8.4134
I 9.2538 -10.1501 11.2458
I 6.1291 -7.4094 5.9349
I 9.6086 -6.7107 8.3962
I 10.6666 -5.1826 11.7324
I 1.3063 -1.4528 3.1026
Te 4.9399 -7.8346 11.2944
Te 6.2093 -5.4605 11.6911
Te 4.3509 -6.1424 2.6573
Te 5.6203 -3.7683 3.0539
Zr 6.2882 0.6749 10.7836
Zr 7.2179 -6.0976 3.7701
Zr 4.2719 -12.2777 3.5647
Zr 3.3422 -5.5053 10.5783
```

Calculated values
Uncorrected formation energy ... -0.78 eV/atom
Total magnetization ... 0.000 μB per formula unit
Total DFT energy (no corrections) ... -81.05 eV/cell

***

Record 17
A plane-wave DFT calculation with PBE was carried out for a relaxed Y2Er6Th crystal.

```
9
Lattice="1.7821 -3.0867 0.0000 1.7821 3.0867 0.0000 0.0000 0.0000 25.9992" Properties=species:S:1:pos:R:3 pbc="T T T"
Er 0.0000 0.0000 5.6723
Er 0.0000 0.0000 11.3220
Er 0.0000 0.0000 20.3269
Er 1.7821 1.0289 2.8766
Er 0.0000 0.0000 14.6773
Er 1.7821 1.0289 23.1227
Y 1.7821 1.0289 17.4739
Y 1.7821 1.0289 8.5254
Th 0.0000 0.0000 0.0000
```

Calculated values
Calculated formation energy ... 0.06 eV per atom
E above lowest polymorph ... 0.000 eV per atom
Total magnetization ... 1.642 μB per formula unit
Total DFT energy (no corrections) ... -47.18 eV/cell

***

Record 18
A plane-wave DFT calculation with PBE was carried out for a relaxed Tl2ZnRh crystal.

```
4
Lattice="5.3797 0.0012 0.0000 2.1064 4.9502 0.0000 -3.7431 -2.4757 2.9668" Properties=species:S:1:pos:R:3 pbc="T T T"
Tl 1.0532 2.4751 1.4834
Tl 0.0000 0.0000 0.0000
Rh 2.6898 0.0006 1.4834
Zn 3.7431 2.4757 0.0000
```

Calculated values
Calculated formation energy ... 0.22 eV per atom
E above lowest polymorph ... 0.209 eV per atom
Total magnetization ... 0.000 μB per formula unit
Total DFT energy (no corrections) ... -12.46 eV/cell

***

Record 19
A plane-wave DFT calculation with PBE was carried out for a relaxed UIBr2O6 crystal.

```
10
Lattice="0.2098 3.5950 -6.8219 -5.4380 -3.7702 0.6815 -4.0700 3.1677 -1.0817" Properties=species:S:1:pos:R:3 pbc="T T T"
Br -3.3670 2.8263 -5.4422
Br -5.9311 0.1662 -1.7800
O -7.9454 -0.4276 -1.4998
O -8.0805 2.6337 -5.5770
O -1.2177 0.3588 -1.6452
O -4.0958 0.8962 -1.8612
O -1.3528 3.4202 -5.7223
O -5.2024 2.0963 -5.3610
U 0.0000 0.0000 0.0000
I -2.6141 -0.0876 -3.0702
```

Calculated values
Uncorrected formation energy ... -1.11 eV/atom
Total magnetization ... 0.000 μB per formula unit
Total DFT energy (no corrections) ... -57.06 eV/cell

***

Record 20
A plane-wave DFT calculation with PBE was carried out for a relaxed MgZrTe2 crystal.

```
4
Lattice="4.1052 0.0000 0.0000 0.0000 4.1052 0.0000 0.0000 0.0000 6.1090" Properties=species:S:1:pos:R:3 pbc="T T T"
Te 2.0526 2.0526 2.1172
Te 0.0000 0.0000 5.5753
Mg 2.0526 2.0526 4.9996
Zr 0.0000 0.0000 2.5805
```

Calculated values
Uncorrected formation energy ... -0.60 eV/atom
Total magnetization ... 0.001 μB per formula unit
Total DFT energy (no corrections) ... -18.82 eV/cell

***

Record 21
A plane-wave DFT calculation with PBE was carried out for a relaxed LiTiGa crystal.

```
6
Lattice="-2.1640 7.0348 -1.6937 -1.8921 -0.3554 -4.4679 -2.0428 -0.7708 1.8533" Properties=species:S:1:pos:R:3 pbc="T T T"
Li -3.9772 3.2189 -3.0746
Li -2.1217 2.6897 -1.2338
Ga -2.1210 5.2137 -2.4030
Ga -3.9779 0.6949 -1.9053
Ti -4.1021 5.9602 -4.2893
Ti -1.9968 -0.0515 -0.0191
```

Calculated values
Calculated formation energy ... -0.22 eV per atom
E above lowest polymorph ... 0.060 eV per atom
Total magnetization ... 0.000 μB per formula unit
Total DFT energy (no corrections) ... -27.02 eV/cell